Entry 1:
Al2Ni21B6 | PBE | relaxed

Unit cell a=7.4007 b=7.4007 c=7.4007 alpha=60.00 beta=60.00 gamma=60.00
Positions (direct):
Al1 0.2500 0.2500 0.2500
Al2 0.7500 0.7500 0.7500
Ni1 0.3826 0.3826 0.3826
Ni2 0.6174 0.6174 0.6174
Ni3 0.3826 0.3826 0.8522
Ni4 0.3826 0.8522 0.3826
Ni5 0.6174 0.6174 0.1478
Ni6 0.6174 0.1478 0.6174
Ni7 0.8522 0.3826 0.3826
Ni8 0.1478 0.6174 0.6174
Ni9 0.3380 0.0000 0.0000
Ni10 0.6620 0.0000 0.0000
Ni11 0.0000 0.3380 0.6620
Ni12 0.0000 0.6620 0.3380
Ni13 0.0000 0.3380 0.0000
Ni14 0.6620 0.0000 0.3380
Ni15 0.0000 0.6620 0.0000
Ni16 0.3380 0.0000 0.6620
Ni17 0.0000 0.0000 0.3380
Ni18 0.0000 0.0000 0.6620
Ni19 0.6620 0.3380 0.0000
Ni20 0.3380 0.6620 0.0000
Ni21 0.0000 0.0000 0.0000
B1 0.7270 0.2730 0.2730
B2 0.2730 0.7270 0.7270
B3 0.2730 0.7270 0.2730
B4 0.7270 0.2730 0.7270
B5 0.2730 0.2730 0.7270
B6 0.7270 0.7270 0.2730

Properties
E_tot: -6.17 eV/atom
magnetization: 0.00 μB per formula unit
space group: No. 225

---

Entry 2:
BaMg2BiAu | PBE | relaxed

Unit cell a=6.8326 b=6.3888 c=6.8326 alpha=90.00 beta=90.00 gamma=90.00
Each line ends with the local moment (μB).
Positions (direct):
Mg1 0.0000 0.0000 0.5000  0.00
Mg2 0.5000 0.0000 0.0000  0.00
Au1 0.5000 0.5000 0.5000  0.07
Bi1 0.0000 0.5000 0.0000  0.35
Ba1 0.0000 0.0000 0.0000  0.04

Properties
E_tot: -1.38 eV/atom
magnetization: 0.81 μB per formula unit
excess energy over the best structure of this formula in the dataset: 199 meV/atom
space group: No. 123

---

Entry 3:
PrHo12Tm3 | PBE | relaxed

Unit cell a=4.9903 b=4.9903 c=19.9592 alpha=90.00 beta=90.00 gamma=90.00
Positions (direct):
Pr1 0.0000 0.0000 0.0000
Ho1 0.5000 0.5000 0.0000
Ho2 0.5000 0.5000 0.2524
Ho3 0.5000 0.5000 0.5000
Ho4 0.5000 0.5000 0.7476
Ho5 0.5000 0.0000 0.1278
Ho6 0.5000 0.0000 0.3758
Ho7 0.5000 0.0000 0.6242
Ho8 0.5000 0.0000 0.8722
Ho9 0.0000 0.5000 0.1278
Ho10 0.0000 0.5000 0.3758
Ho11 0.0000 0.5000 0.6242
Ho12 0.0000 0.5000 0.8722
Tm1 0.0000 0.0000 0.2516
Tm2 0.0000 0.0000 0.5000
Tm3 0.0000 0.0000 0.7484

Properties
E_tot: -4.55 eV/atom
magnetization: 0.00 μB per formula unit
space group: No. 123

---

Entry 4:
RbGeAu | PBE | relaxed

Unit cell a=5.0089 b=5.0013 c=8.8000 alpha=124.54 beta=90.01 gamma=89.99
Positions (direct):
Rb1 0.8122 0.6873 0.9454
Rb2 0.3122 0.4701 0.2279
Ge1 0.8118 0.8292 0.5857
Ge2 0.3119 0.3288 0.5877
Au1 0.8120 0.1954 0.4512
Au2 0.3119 0.9625 0.7220

Properties
E_tot: -3.12 eV/atom
magnetization: 0.00 μB per formula unit
excess energy over the best structure of this formula in the dataset: 71 meV/atom
space group: No. 11

---

Entry 5:
TaMn2AgTe | PBE | relaxed

Unit cell a=4.8233 b=5.2028 c=4.8233 alpha=90.00 beta=90.00 gamma=90.00
Each line ends with the local moment (μB).
Positions (direct):
Mn1 0.0000 0.0000 0.5000  3.98
Mn2 0.5000 0.0000 0.0000  3.93
Te1 0.0000 0.5000 0.0000  0.06
Ag1 0.0000 0.0000 0.0000  0.07
Ta1 0.5000 0.5000 0.5000  -1.80

Properties
E_tot: -5.73 eV/atom
uncorrected formation energy: 1.51 eV per atom
magnetization: 5.75 μB per formula unit
space group: No. 123

---

Entry 6:
CeTmIrPd | PBE | relaxed

Unit cell a=4.9283 b=4.9283 c=4.9283 alpha=60.00 beta=60.00 gamma=60.00
Each line ends with the local moment (μB).
Positions (direct):
Ir1 0.5000 0.5000 0.5000  -0.01
Tm1 0.7500 0.7500 0.7500  0.03
Pd1 0.0000 0.0000 0.0000  0.00
Ce1 0.2500 0.2500 0.2500  0.50

Properties
E_tot: -6.90 eV/atom
magnetization: 0.61 μB per formula unit
space group: No. 216

---

Q: Which value of E_tot does entry 5 give?
A: -5.73 eV/atom

---

Q: Which of these has the highest E_tot?
A: BaMg2BiAu